Entry 1:
A relaxed structure of LaYSiAu, computed with PBE.

Results
Total magnetization = 0.49 μB/f.u.
Symmetry = F-43m (216)
Density of states at the Fermi level = 4.08 states/eV per cell
Formation energy (no corrections) = -649 meV per atom

Cell: 5.195 5.195 5.195 Å, 60.00 60.00 60.00°
Each line ends with the local moment (μB).
Positions (direct):
La: 0.000 0.000 0.000  0.10
Si: 0.750 0.750 0.750  -0.01
Au: 0.250 0.250 0.250  0.03
Y: 0.500 0.500 0.500  0.14



Entry 2:
A relaxed structure of As2RuBrF, computed with PBE.

Results
Total magnetization = 0.00 μB/f.u.
Symmetry = P4/mmm (123)
Density of states at the Fermi level = 5.96 states/eV per cell
Formation energy (no corrections) = 157 meV per atom
Offset from the most stable computed form = 0 meV per atom

Cell: 4.700 4.700 5.191 Å, 90.00 90.00 90.00°
Positions (direct):
As: 0.500 0.000 0.000
As: 0.000 0.500 0.000
Ru: 0.000 0.000 0.000
F: 0.500 0.500 0.500
Br: 0.000 0.000 0.500



Entry 3:
A relaxed structure of TbTmCoAg, computed with PBE.

Results
Total magnetization = 0.64 μB/f.u.
Symmetry = P4mm (99)
Density of states at the Fermi level = 2.66 states/eV per cell
Formation enthalpy at 0 K = -258 meV/atom
Offset from the most stable computed form = 0 meV per atom

Cell: 3.353 3.353 7.506 Å, 90.00 90.00 90.00°
Each line ends with the local moment (μB).
Positions (direct):
Tm: 0.500 0.500 0.351  -0.10
Tb: 0.500 0.500 0.789  -0.08
Ag: 0.000 0.000 0.079  0.01
Co: 0.000 0.000 0.565  0.81



Calculated DFT total energy in order - -5.672; -4.267; -5.023 eV per atom